Record 1
VASP calculation (SCAN) on a PBEsol-optimized structure of LiAg2Sb.

a b c (Å): 4.9763 4.9763 5.0252
angles (deg): 97.57 97.57 36.24
Closest atoms and distances in Å follow each position.
Positions (direct):
1 Li 0.0000 0.0000 0.0000  6 Ag 2.80-2.93, 4 Sb 2.95, 2 Li 3.09
2 Ag 0.2514 0.2514 0.7638  3 Li 2.80-2.93, 6 Ag 2.84-3.09, 3 Sb 2.86-2.99
3 Ag 0.7486 0.7486 0.2362  3 Li 2.80-2.93, 6 Ag 2.84-3.09, 3 Sb 2.86-2.99
4 Sb 0.5000 0.5000 0.5000  6 Ag 2.86-2.99, 4 Li 2.95, 2 Sb 3.09

Values from the calculation:
E_form (uncorrected) (eV/atom): -0.1775

---

Record 2
VASP calculation (SCAN) on a PBEsol-optimized structure of LiAgSb2.

a b c (Å): 4.5333 4.5333 4.1117
angles (deg): 90.00 90.00 90.00
Closest atoms and distances in Å follow each position.
Positions (direct):
1 Li 0.0000 0.0000 0.0000  8 Sb 3.06, 4 Ag 3.21
2 Ag 0.5000 0.5000 0.0000  8 Sb 3.06, 4 Li 3.21
3 Sb 0.0000 0.5000 0.5000  4 Li 3.06, 4 Ag 3.06, 4 Sb 3.21
4 Sb 0.5000 0.0000 0.5000  4 Li 3.06, 4 Ag 3.06, 4 Sb 3.21

Values from the calculation:
Distance to the lowest polymorph of the same formula (meV/atom): 34
E_form (uncorrected) (eV/atom): -0.1453

---

Record 3
VASP calculation (SCAN) on a PBEsol-optimized structure of LiAg2Sb.

a b c (Å): 3.0268 4.8575 5.0472
angles (deg): 90.00 91.75 90.00
Closest atoms and distances in Å follow each position.
Positions (direct):
1 Li 0.0000 0.0000 0.0000  4 Ag 2.83, 4 Sb 2.90-2.98, 2 Li 3.03
2 Ag 0.2610 0.5000 0.7619  6 Ag 2.77-3.05, 2 Li 2.83, 2 Sb 2.87
3 Ag 0.7390 0.5000 0.2381  6 Ag 2.77-3.05, 2 Li 2.83, 2 Sb 2.87
4 Sb 0.5000 0.0000 0.5000  4 Ag 2.87, 4 Li 2.90-2.98, 2 Sb 3.03

Values from the calculation:
E_form (uncorrected) (eV/atom): -0.1329

---

Record 4
VASP calculation (SCAN) on a PBEsol-optimized structure of LiAg2Sb.

a b c (Å): 3.0714 4.4529 5.6440
angles (deg): 90.00 103.86 90.00
Closest atoms and distances in Å follow each position.
Positions (direct):
1 Li 0.0000 0.0000 0.0000  1 Ag 2.69, 4 Sb 2.92-2.93
2 Ag 0.3477 0.5000 0.6935  2 Sb 2.80-3.02, 6 Ag 2.87-3.07
3 Ag 0.7587 0.0000 0.5099  1 Li 2.69, 2 Sb 2.79, 4 Ag 2.87-2.90
4 Sb 0.5877 0.5000 0.2044  4 Ag 2.79-3.02, 4 Li 2.92-2.93, 2 Sb 3.07

Values from the calculation:
E_form (uncorrected) (eV/atom): -0.1503

---

Record 5
VASP calculation (SCAN) on a PBEsol-optimized structure of LiAg2Sb.

a b c (Å): 5.0124 5.0124 5.0124
angles (deg): 130.01 130.01 73.39
Closest atoms and distances in Å follow each position.
Positions (direct):
1 Li 0.0000 0.0000 0.0000  8 Ag 2.92, 4 Sb 3.00
2 Ag 0.2500 0.7500 0.5000  4 Sb 2.92, 4 Li 2.92, 4 Ag 3.00
3 Ag 0.7500 0.2500 0.5000  4 Sb 2.92, 4 Li 2.92, 4 Ag 3.00
4 Sb 0.5000 0.5000 0.0000  8 Ag 2.92, 4 Li 3.00

Values from the calculation:
E_form (uncorrected) (eV/atom): -0.2272

---

Record 6
VASP calculation (SCAN) on a PBEsol-optimized structure of LiAgSb2.

a b c (Å): 3.1823 4.4347 6.4081
angles (deg): 90.00 90.11 90.00
Closest atoms and distances in Å follow each position.
Positions (direct):
1 Li 0.0000 0.0000 0.0000  8 Sb 3.12, 2 Li 3.18
2 Ag 0.5000 0.0000 0.5000  4 Sb 2.79
3 Sb 0.4993 0.5000 0.7638  2 Ag 2.79, 1 Sb 3.03, 4 Li 3.12
4 Sb 0.5007 0.5000 0.2362  2 Ag 2.79, 1 Sb 3.03, 4 Li 3.12

Values from the calculation:
Distance to the lowest polymorph of the same formula (meV/atom): 0
E_form (uncorrected) (eV/atom): -0.1790

---

Record 7
VASP calculation (SCAN) on a PBEsol-optimized structure of Li2Ag2Sb.

a b c (Å): 6.9160 6.9160 6.9160
angles (deg): 147.60 147.60 46.48
Closest atoms and distances in Å follow each position.
Positions (direct):
1 Li 0.2500 0.7500 0.5000  4 Ag 2.67, 4 Li 2.73
2 Li 0.7500 0.2500 0.5000  4 Ag 2.67, 4 Li 2.73
3 Ag 0.1053 0.1053 0.0000  4 Li 2.67, 1 Ag 2.68
4 Ag 0.8947 0.8947 0.0000  4 Li 2.67, 1 Ag 2.68
5 Sb 0.5000 0.5000 0.0000  8 Ag 3.04

Values from the calculation:
E_form (uncorrected) (eV/atom): 0.0493

---

Record 8
VASP calculation (SCAN) on a PBEsol-optimized structure of LiAg2Sb.

a b c (Å): 3.0785 4.1034 5.8389
angles (deg): 90.00 90.00 90.00
Closest atoms and distances in Å follow each position.
Positions (direct):
1 Li 0.0000 0.0000 0.0000  8 Ag 2.91, 2 Sb 2.92, 2 Li 3.08
2 Ag 0.5000 0.5000 0.2351  1 Ag 2.75, 4 Li 2.91, 4 Sb 3.00
3 Ag 0.5000 0.5000 0.7649  1 Ag 2.75, 4 Li 2.91, 4 Sb 3.00
4 Sb 0.0000 0.0000 0.5000  2 Li 2.92, 8 Ag 3.00, 2 Sb 3.08

Values from the calculation:
E_form (uncorrected) (eV/atom): -0.1023

---

Record 9
VASP calculation (SCAN) on a PBEsol-optimized structure of LiAg2Sb.

a b c (Å): 4.6767 4.6767 4.6767
angles (deg): 60.00 60.00 60.00
Closest atoms and distances in Å follow each position.
Positions (direct):
1 Li 0.0000 0.0000 0.0000  4 Sb 2.86, 4 Ag 2.86
2 Ag 0.5000 0.5000 0.5000  4 Sb 2.86, 4 Ag 2.86
3 Ag 0.7500 0.7500 0.7500  4 Li 2.86, 4 Ag 2.86
4 Sb 0.2500 0.2500 0.2500  4 Li 2.86, 4 Ag 2.86

Values from the calculation:
E_form (uncorrected) (eV/atom): -0.1997

---

Record 10
VASP calculation (SCAN) on a PBEsol-optimized structure of LiAg2Sb.

a b c (Å): 4.1719 4.1719 4.0880
angles (deg): 90.00 90.00 90.00
Closest atoms and distances in Å follow each position.
Positions (direct):
1 Li 0.0000 0.0000 0.0000  8 Ag 2.92, 4 Sb 2.95
2 Ag 0.0000 0.5000 0.5000  4 Sb 2.92, 4 Li 2.92, 4 Ag 2.95
3 Ag 0.5000 0.0000 0.5000  4 Sb 2.92, 4 Li 2.92, 4 Ag 2.95
4 Sb 0.5000 0.5000 0.0000  8 Ag 2.92, 4 Li 2.95

Values from the calculation:
E_form (uncorrected) (eV/atom): -0.2169

---

Record 11
VASP calculation (SCAN) on a PBEsol-optimized structure of LiAgSb.

a b c (Å): 4.9149 4.9149 4.9149
angles (deg): 140.19 130.38 65.42
Closest atoms and distances in Å follow each position.
Positions (direct):
1 Li 0.0000 0.0000 0.0000  5 Sb 2.73-3.00, 5 Ag 2.76-2.99
2 Ag 0.3334 0.3334 0.0000  5 Li 2.76-2.99, 5 Sb 2.78-2.98
3 Sb 0.6696 0.6696 0.0000  5 Li 2.73-3.00, 5 Ag 2.78-2.98

Values from the calculation:
E_form (uncorrected) (eV/atom): -0.2889

---

Record 12
VASP calculation (SCAN) on a PBEsol-optimized structure of LiAgSb.

a b c (Å): 4.9128 4.9128 4.9128
angles (deg): 135.53 135.53 64.70
Closest atoms and distances in Å follow each position.
Positions (direct):
1 Li 0.0000 0.0000 0.0000  5 Sb 2.73-2.99, 5 Ag 2.78-2.96
2 Ag 0.6648 0.6648 0.0000  5 Li 2.78-2.96, 5 Sb 2.79-2.96
3 Sb 0.3292 0.3292 0.0000  5 Li 2.73-2.99, 5 Ag 2.79-2.96

Values from the calculation:
E_form (uncorrected) (eV/atom): -0.2660

---

Record 13
VASP calculation (SCAN) on a PBEsol-optimized structure of LiAgSb3.

a b c (Å): 4.9186 4.9186 4.9186
angles (deg): 90.00 90.00 90.00
Closest atoms and distances in Å follow each position.
Positions (direct):
1 Li 0.0000 0.0000 0.0000  6 Sb 2.46
2 Ag 0.5000 0.5000 0.5000  12 Sb 3.48
3 Sb 0.0000 0.0000 0.5000  2 Li 2.46
4 Sb 0.0000 0.5000 0.0000  2 Li 2.46
5 Sb 0.5000 0.0000 0.0000  2 Li 2.46

Values from the calculation:
E_form (uncorrected) (eV/atom): 0.4442

---

Record 14
VASP calculation (SCAN) on a PBEsol-optimized structure of LiScAg.

a b c (Å): 5.1390 5.1390 5.1390
angles (deg): 140.84 140.84 56.58
Closest atoms and distances in Å follow each position.
Positions (direct):
1 Li 0.0000 0.0000 0.0000  4 Ag 2.77, 5 Sc 2.83-2.97
2 Sc 0.3129 0.3129 0.0000  5 Li 2.83-2.97, 5 Ag 2.87-3.01
3 Ag 0.6455 0.6455 0.0000  4 Li 2.77, 5 Sc 2.87-3.01

Values from the calculation:
Energy of formation (eV/f.u.): -0.56

---

Record 15
VASP calculation (SCAN) on a PBEsol-optimized structure of Li2ScAg.

a b c (Å): 3.1885 4.6774 5.0177
angles (deg): 90.00 90.00 90.00
Closest atoms and distances in Å follow each position.
Positions (direct):
1 Li 0.0000 0.0000 0.0000  4 Li 2.83, 4 Ag 2.97
2 Li 0.5000 0.5000 0.0000  4 Li 2.83, 4 Sc 2.97
3 Sc 0.0000 0.5000 0.5000  4 Ag 2.83, 4 Li 2.97
4 Ag 0.5000 0.0000 0.5000  4 Sc 2.83, 4 Li 2.97

Values from the calculation:
Distance to the lowest polymorph of the same formula (meV/atom): 77
Energy of formation (eV/f.u.): -0.10

---

Volume / A^3/atom: 18.2 21.1 18.5 18.7 18.0 22.6 18.9 18.4 18.1 17.8 19.0 19.1 23.8 17.9 18.7
Total moment / μB per cell: 0.00 0.00 0.00 0.00 0.00 0.00 0.00 0.00 0.00 0.00 0.00 0.00 0.00 0.00 0.00